(1)
Here is TiTeRhO5 after structural relaxation from Alexandria via LeMat-Bulk. Energies are from PBE.

The structure in CIF format:
```
data_TiTeRhO5
_cell_length_a 7.632
_cell_length_b 8.172
_cell_length_c 7.775
_cell_angle_alpha 90.00
_cell_angle_beta 117.06
_cell_angle_gamma 90.00
_space_group_name_H-M_alt 'C 1 2/c 1'
_space_group_IT_number 15
_space_group_name_Hall '-C 2yc'
loop_
_atom_site_label
_atom_site_fract_x
_atom_site_fract_y
_atom_site_fract_z
_atom_site_occupancy
Ti1 0.250 0.250 0.000 1
Te1 0.000 0.088 0.250 1
Rh1 0.000 0.493 0.250 1
O1 0.000 0.258 0.750 1
O2 0.094 0.269 0.152 1
O3 0.232 0.009 0.011 1
```

The calculation puts the uncorrected formation energy at -1.4183 eV per atom.


(2)
Here is GaGePO2 after structural relaxation from Alexandria via LeMat-Bulk. Energies are from PBE.

The structure in CIF format:
```
data_GaGePO2
_cell_length_a 3.739
_cell_length_b 3.739
_cell_length_c 5.281
_cell_angle_alpha 90.00
_cell_angle_beta 90.00
_cell_angle_gamma 90.00
_space_group_name_H-M_alt 'P 4/m m m'
_space_group_IT_number 123
_space_group_name_Hall '-P 4 2'
loop_
_atom_site_label
_atom_site_fract_x
_atom_site_fract_y
_atom_site_fract_z
_atom_site_occupancy
Ga1 0.000 0.000 0.000 1
Ge1 0.500 0.500 0.500 1
P1 0.000 0.000 0.500 1
O1 0.000 0.500 0.000 1
```

The calculation puts the uncorrected formation energy at -0.2440 eV per atom. For the distance to the lowest polymorph of the same formula, the calculation gives 0.225 eV/atom.


(3)
Here is YHo8Tm4 after structural relaxation from Alexandria via LeMat-Bulk. Energies are from PBE.

The structure in CIF format:
```
data_YHo8Tm4
_cell_length_a 7.2027
_cell_length_b 7.2027
_cell_length_c 27.0849
_cell_angle_alpha 90.00
_cell_angle_beta 90.00
_cell_angle_gamma 120.00
_space_group_name_H-M_alt 'R -3 m'
_space_group_IT_number 166
_space_group_name_Hall '-R 3 2"'
loop_
_atom_site_label
_atom_site_fract_x
_atom_site_fract_y
_atom_site_fract_z
_atom_site_occupancy
Y1 0.0000 0.0000 0.0000 1
Ho1 0.0000 0.0000 0.2838 1
Ho2 0.0358 0.5179 0.2668 1
Tm1 0.0000 0.0000 0.5000 1
Tm2 0.0000 0.5000 0.5000 1
```

Its formation enthalpy at 0 K is 0.231 eV per atom.


(4)
Here is Ba2GeSe2 after structural relaxation from Alexandria via LeMat-Bulk. Energies are from PBE.

The structure in CIF format:
```
data_Ba2GeSe2
_cell_length_a 8.434
_cell_length_b 8.434
_cell_length_c 4.475
_cell_angle_alpha 90.00
_cell_angle_beta 90.00
_cell_angle_gamma 90.00
_space_group_name_H-M_alt 'P 4/m b m'
_space_group_IT_number 127
_space_group_name_Hall '-P 4 2ab'
loop_
_atom_site_label
_atom_site_fract_x
_atom_site_fract_y
_atom_site_fract_z
_atom_site_occupancy
Ba1 0.157 0.343 0.000 1
Ge1 0.000 0.000 0.500 1
Se1 0.156 0.656 0.500 1
```

The calculation puts the uncorrected formation energy at -1.1990 eV per atom.


no.,VASP energy (eV per atom),magnetization (Bohr magnetons per cell)
1,-6.82,4.098
2,-4.84,1.041
3,-4.46,0.000
4,-4.29,0.000